i | Density functional theory data (meta-GGA SCAN) for AlPtRh at its PBEsol-relaxed geometry.

POSCAR file:
```
AlPtRh
1.0
5.889 0.000 0.000
0.000 5.889 0.000
0.000 0.000 5.889
Al Pt Rh
4 4 4
direct
0.000 0.000 0.000
0.000 0.500 0.500
0.500 0.000 0.500
0.500 0.500 0.000
0.250 0.250 0.250
0.250 0.750 0.750
0.750 0.250 0.750
0.750 0.750 0.250
0.000 0.000 0.500
0.000 0.500 0.000
0.500 0.000 0.000
0.500 0.500 0.500
```

Calculated values
Total moment (μB per formula unit): 0.68
Theoretical density (g/cm3): 10.6
Fermi-level density of states (states/eV/cell): 14.4
SG: F-43m (216)

---

ii | Density functional theory data (meta-GGA SCAN) for AlPtRh at its PBEsol-relaxed geometry.

POSCAR file:
```
AlPtRh
1.0
5.706 0.000 0.000
0.000 5.706 0.000
0.000 0.000 5.706
Al Pt Rh
4 4 4
direct
0.000 0.000 0.000
0.000 0.500 0.500
0.500 0.000 0.500
0.500 0.500 0.000
0.250 0.250 0.250
0.250 0.750 0.750
0.750 0.250 0.750
0.750 0.750 0.250
0.250 0.250 0.750
0.250 0.750 0.250
0.750 0.250 0.250
0.750 0.750 0.750
```

Calculated values
Total moment (μB per formula unit): 0.00
Theoretical density (g/cm3): 11.6
Fermi-level density of states (states/eV/cell): 6.1
SG: F-43m (216)

---

Which one sits at the bottom of the stability order? i does.

---

i | Density functional theory data (meta-GGA SCAN) for YZr3 at its PBEsol-relaxed geometry.

POSCAR file:
```
YZr3
1.0
5.167 0.000 0.000
0.000 6.537 0.000
0.000 0.000 5.684
Y Zr
2 6
direct
0.250 0.250 0.157
0.750 0.750 0.843
0.250 0.005 0.660
0.250 0.495 0.660
0.250 0.750 0.188
0.750 0.250 0.812
0.750 0.505 0.340
0.750 0.995 0.340
```

Calculated values
Total moment (μB per formula unit): 0.00
Theoretical density (g/cm3): 6.3
Fermi-level density of states (states/eV/cell): 7.3
SG: Pmmn (59)

---

ii | Density functional theory data (meta-GGA SCAN) for YZr3 at its PBEsol-relaxed geometry.

POSCAR file:
```
YZr3
1.0
3.258 0.000 0.000
-1.629 2.821 0.000
0.000 0.000 10.439
Y Zr
1 3
direct
0.000 0.000 0.000
0.000 0.000 0.500
0.667 0.333 0.262
0.667 0.333 0.738
```

Calculated values
Total moment (μB per formula unit): 0.00
Theoretical density (g/cm3): 6.3
Fermi-level density of states (states/eV/cell): 4.8
SG: P-6m2 (187)

---

Which one sits at the bottom of the stability order? ii does.